Computed, not measured: PuTeCl after structural relaxation at the PBE level of DFT.

Unit cell a=4.7374 b=4.7374 c=4.2169 alpha=90.00 beta=90.00 gamma=120.00
Atoms (fractional coordinates):
Pu: 0.0000 0.0000 0.0000
Te: 0.6667 0.3333 0.4991
Cl: 0.3333 0.6667 0.9984

**Raw formation energy**: -1.247 eV per atom
**N(E_F)**: 9.4 states/eV/f.u.
**Space group**: No. 156